[1]
The following is a DFT calculation (GGA-PBE) of a relaxed BaSmAgTe3 crystal.

a b c (Å): 4.5585 9.3782 10.1970
angles (deg): 104.97 90.00 90.00
Closest atoms and distances in Å follow each position.
Atoms (fractional coordinates):
Ba  0.2500  0.1962  0.2482  7 Te 3.53-3.71, 1 Ag 3.87
Ba  0.7500  0.8038  0.7518  7 Te 3.53-3.71, 1 Ag 3.87
Sm  0.2500  0.6779  0.1614  6 Te 3.12-3.19
Sm  0.7500  0.3221  0.8386  6 Te 3.12-3.19
Ag  0.2500  0.0820  0.5867  4 Te 2.86-2.96, 2 Ag 3.05
Ag  0.7500  0.9180  0.4133  4 Te 2.86-2.96, 2 Ag 3.05
Te  0.7500  0.8994  0.1284  1 Ag 2.86, 2 Sm 3.16
Te  0.2500  0.1006  0.8716  1 Ag 2.86, 2 Sm 3.16
Te  0.2500  0.7577  0.4779  3 Ag 2.90-2.96, 1 Sm 3.12
Te  0.7500  0.2423  0.5221  3 Ag 2.90-2.96, 1 Sm 3.12
Te  0.7500  0.4441  0.1609  3 Sm 3.16-3.19, 2 Ba 3.53
Te  0.2500  0.5559  0.8391  3 Sm 3.16-3.19, 2 Ba 3.53

Summary:
Energy relative to the elements, uncorrected = -1.265 eV/atom
Raw total energy = -53.015 eV per cell



[2]
The following is a DFT calculation (GGA-PBE) of a relaxed Sr3Ca2Ac crystal.

a b c (Å): 4.0702 4.0702 40.4228
angles (deg): 90.00 90.00 120.00
Closest atoms and distances in Å follow each position.
Atoms (fractional coordinates):
Sr  0.6667  0.3333  0.6660  9 Sr 4.07-4.27, 3 Ca 4.11
Sr  0.3333  0.6667  0.0869  6 Sr 4.07, 3 Ca 4.10, 3 Ac 4.12
Sr  0.3333  0.6667  0.5778  9 Sr 4.07-4.27, 3 Ca 4.10
Sr  0.3333  0.6667  0.9208  9 Sr 4.07-4.26, 3 Ca 4.10
Sr  0.3333  0.6667  0.4116  6 Sr 4.07, 3 Ca 4.10, 3 Ac 4.13
Sr  0.6667  0.3333  0.8327  9 Sr 4.07-4.26, 3 Ca 4.11
Ca  0.6667  0.3333  0.0038  6 Ca 4.07, 6 Sr 4.10
Ca  0.6667  0.3333  0.4947  6 Ca 4.07, 6 Sr 4.10
Ca  0.3333  0.6667  0.7494  6 Ca 4.07, 6 Sr 4.11
Ca  0.3333  0.6667  0.2492  6 Ac 3.95, 6 Ca 4.07
Ac  0.6667  0.3333  0.1707  3 Ca 3.95, 6 Ac 4.07, 3 Sr 4.12
Ac  0.6667  0.3333  0.3277  3 Ca 3.95, 6 Ac 4.07, 3 Sr 4.13

Summary:
Raw total energy = -25.851 eV per cell
Fermi-level density of states = 16.077 states/eV/cell
ΔH_f (0 K) = 0.04 eV/atom



[3]
The following is a DFT calculation (GGA-PBE) of a relaxed BeSnSe crystal.

a b c (Å): 3.5989 5.0979 8.7014
angles (deg): 107.14 101.70 90.00
Closest atoms and distances in Å follow each position.
Atoms (fractional coordinates):
Be  0.8246  0.1124  0.3595  3 Se 2.21-2.25
Be  0.2571  0.6111  0.2161  3 Se 2.14-2.15
Sn  0.9698  0.0556  0.6514  1 Be 2.59
Sn  0.5219  0.6194  0.7526  2 Se 3.01-3.07, 4 Sn 3.17-3.28
Se  0.3367  0.3724  0.3837  3 Be 2.14-2.21
Se  0.7138  0.7518  0.1284  3 Be 2.15-2.25

Summary:
Energy relative to the elements, uncorrected = -0.240 eV/atom
Raw total energy = -23.866 eV per cell
Fermi-level density of states = 1.732 states/eV/cell



[4]
The following is a DFT calculation (GGA-PBE) of a relaxed Zn3GaC crystal.

a b c (Å): 4.2244 4.2244 4.2244
angles (deg): 90.00 90.00 90.00
Closest atoms and distances in Å follow each position.
Atoms (fractional coordinates):
Zn  0.0000  0.5000  0.0000  2 C 2.11
Zn  0.0000  0.0000  0.5000  2 C 2.11
Zn  0.5000  0.0000  0.0000  2 C 2.11
C  0.0000  0.0000  0.0000  6 Zn 2.11
Ga  0.5000  0.5000  0.5000  12 Zn 2.99

Summary:
Raw total energy = -13.088 eV per cell
Fermi-level density of states = 1.629 states/eV/cell
ΔH_f (0 K) = 0.60 eV/atom



The lowest raw total energy belongs to which entry?
BaSmAgTe3



Which value of raw total energy does entry 1 give?
-53.015 eV per cell



What is the raw total energy in the first record?
-53.015 eV per cell